MnFeP2O8: relaxed, PBE+U.

Computed properties:
**Offset from the most stable computed form**: 1 meV/atom

```
MnFeP2O8
1.0
5.9657 0.0000 0.0000
0.0000 4.8930 0.0000
0.0000 0.0000 9.9047
Mn Fe P O
2 2 4 16
Cartesian
0.0000 0.8552 0.0000
0.0000 4.0378 4.9524
2.9828 1.4754 5.5674
2.9828 3.4176 0.6150
0.0000 1.6754 6.7872
0.0000 3.2176 1.8349
2.9828 0.7332 8.7176
2.9828 4.1598 3.7653
0.0000 0.1423 6.5659
0.0000 1.9158 8.3123
0.0000 2.9772 3.3599
0.0000 4.7507 1.6136
1.2197 2.3722 6.1032
1.2197 2.5208 1.1509
1.7914 0.0089 4.4939
1.7914 4.8841 9.4462
2.9828 0.4432 7.2213
2.9828 2.2306 8.9878
2.9828 2.6624 4.0354
2.9828 4.4498 2.2689
4.1743 0.0089 4.4939
4.1743 4.8841 9.4462
4.7459 2.3722 6.1032
4.7459 2.5208 1.1509
```